This record from Alexandria via LeMat-Bulk describes a geometry-optimized LaSm3Te6 structure. The functional is PBE-GGA.

Output
raw total energy	-105.19	eV/cell
symmetry	No. 11
magnetization	0.00	μB/f.u.
ΔE_f (raw)	-14.66	eV/f.u.

a = 4.4832 Å, b = 12.7016 Å, c = 13.0705 Å
α = 109.27°, β = 90.00°, γ = 90.00°
Last column: nearest neighbours and their distance in Å.
Sites, in units of the cell vectors:
La1 0.7500 0.0464 0.6950  8 Te 3.30-3.42
La2 0.2500 0.9536 0.3050  8 Te 3.30-3.42
Sm1 0.7500 0.4352 0.8338  6 Te 3.10-3.18
Sm2 0.2500 0.5648 0.1662  6 Te 3.10-3.18
Sm3 0.7500 0.6813 0.5011  7 Te 3.11-3.33
Sm4 0.2500 0.3187 0.4989  7 Te 3.11-3.33
Sm5 0.7500 0.1553 0.0823  6 Te 3.06-3.16
Sm6 0.2500 0.8447 0.9177  6 Te 3.06-3.16
Te1 0.7500 0.4851 0.6174  4 Sm 3.10-3.32
Te2 0.2500 0.5149 0.3826  4 Sm 3.10-3.32
Te3 0.7500 0.9141 0.0983  3 Sm 3.14-3.16, 2 La 3.42
Te4 0.2500 0.0859 0.9017  3 Sm 3.14-3.16, 2 La 3.42
Te5 0.7500 0.3922 0.0597  4 Sm 3.12-3.18
Te6 0.2500 0.6078 0.9403  4 Sm 3.12-3.18
Te7 0.7500 0.7434 0.2768  3 Sm 3.18-3.28, 2 La 3.41
Te8 0.2500 0.2566 0.7232  3 Sm 3.18-3.28, 2 La 3.41
Te9 0.7500 0.1160 0.4667  3 La 3.30-3.38, 2 Sm 3.33
Te10 0.2500 0.8840 0.5333  3 La 3.30-3.38, 2 Sm 3.33
Te11 0.7500 0.8063 0.7494  3 Sm 3.06-3.11, 1 La 3.35
Te12 0.2500 0.1937 0.2506  3 Sm 3.06-3.11, 1 La 3.35